## VCuAs (PBE-GGA)

Data for a geometry-optimized VCuAs structure.

abc: 4.0272 4.0272 3.0256
angles: 90.00 90.00 120.00
Space group P3m1 (No. 156)
Inequivalent atoms, fractional coordinates:
V  0.0000  0.0000  0.0000 (multiplicity 1)
Cu  0.3333  0.6667  0.4933 (multiplicity 1)
As  0.6667  0.3333  0.5131 (multiplicity 1)

DFT total energy   -5.869 eV per atom
DOS at the Fermi energy   1.014 states/eV per atom
Formation energy   86 meV per atom

## SrCo2Pt2 (PBE-GGA)

Data for a geometry-optimized SrCo2Pt2 structure.

abc: 7.6912 7.6912 2.8039
angles: 90.00 90.00 90.00
Space group P4/mbm (No. 127)
Inequivalent atoms, fractional coordinates:
Sr  0.0000  0.0000  0.0000 (multiplicity 2)
Co  0.1096  0.3904  0.0000 (multiplicity 4)
Pt  0.1812  0.6812  0.5000 (multiplicity 4)

DFT total energy   -5.707 eV per atom
DOS at the Fermi energy   0.918 states/eV per atom
Formation energy   -112 meV per atom
ΔE to the lowest computed polymorph   32 meV per atom

## La2Sm6Er3 (PBE-GGA)

Data for a geometry-optimized La2Sm6Er3 structure.

abc: 5.6321 5.6321 25.0071
angles: 90.00 90.00 90.00
Space group I4/mmm (No. 139)
Inequivalent atoms, fractional coordinates:
La  0.0000  0.0000  0.0582 (multiplicity 4)
Sm  0.0000  0.0000  0.1972 (multiplicity 4)
Sm  0.0000  0.5000  0.0964 (multiplicity 8)
Er  0.0000  0.0000  0.3344 (multiplicity 4)
Er  0.0000  0.0000  0.5000 (multiplicity 2)

DFT total energy   -4.256 eV per atom
DOS at the Fermi energy   1.276 states/eV per atom
Formation energy   458 meV per atom
ΔE to the lowest computed polymorph   288 meV per atom

## BaGd2O (PBE-GGA)

Data for a geometry-optimized BaGd2O structure.

abc: 3.6409 3.6409 29.6438
angles: 90.00 90.00 120.00
Space group R-3m (No. 166, hexagonal axes)
Inequivalent atoms, fractional coordinates:
Ba  0.0000  0.0000  0.0000 (multiplicity 3)
Gd  0.0000  0.0000  0.1228 (multiplicity 6)
O  0.0000  0.0000  0.5000 (multiplicity 3)

DFT total energy   -9.899 eV per atom
DOS at the Fermi energy   0.967 states/eV per atom

## Lu3V5H12 (PBE-GGA)

Data for a geometry-optimized Lu3V5H12 structure.

abc: 11.2720 11.2720 11.2720
angles: 90.00 90.00 90.00
Space group Ia-3d (No. 230)
Inequivalent atoms, fractional coordinates:
Lu  0.0000  0.2500  0.1250 (multiplicity 24)
V  0.0000  0.0000  0.0000 (multiplicity 16)
V  0.0000  0.2500  0.3750 (multiplicity 24)
H  0.0202  0.0614  0.6462 (multiplicity 96)

DFT total energy   -5.232 eV per atom
DOS at the Fermi energy   0.281 states/eV per atom

## BaThHgBr6 (PBE-GGA)

Data for a geometry-optimized BaThHgBr6 structure.

abc: 8.1760 8.1760 17.2180
angles: 90.00 90.00 120.00
Space group P-31c (No. 163)
Inequivalent atoms, fractional coordinates:
Ba  0.3333  0.6667  0.2500 (multiplicity 2)
Th  0.3333  0.6667  0.7500 (multiplicity 2)
Hg  0.0000  0.0000  0.0000 (multiplicity 2)
Br  0.0368  0.3943  0.6538 (multiplicity 12)

DFT total energy   -3.860 eV per atom
DOS at the Fermi energy   0.000 states/eV per atom

## HoPaFeRh (PBE-GGA)

Data for a geometry-optimized HoPaFeRh structure.

abc: 6.7837 6.7837 6.7837
angles: 90.00 90.00 90.00
Space group F-43m (No. 216)
Inequivalent atoms, fractional coordinates:
Ho  0.0000  0.0000  0.0000 (multiplicity 4)
Pa  0.0000  0.0000  0.5000 (multiplicity 4)
Fe  0.2500  0.2500  0.7500 (multiplicity 4)
Rh  0.2500  0.2500  0.2500 (multiplicity 4)

DFT total energy   -7.763 eV per atom
DOS at the Fermi energy   1.234 states/eV per atom
Formation energy   -291 meV per atom

## KAsSe2Br (PBE-GGA)

Data for a geometry-optimized KAsSe2Br structure.

abc: 5.5047 5.5047 5.2197
angles: 90.00 90.00 90.00
Space group P4/mmm (No. 123)
Inequivalent atoms, fractional coordinates:
K  0.0000  0.0000  0.0000 (multiplicity 1)
As  0.5000  0.5000  0.0000 (multiplicity 1)
Se  0.0000  0.5000  0.5000 (multiplicity 2)
Br  0.5000  0.5000  0.5000 (multiplicity 1)

DFT total energy   -2.502 eV per atom
DOS at the Fermi energy   0.870 states/eV per atom
ΔE to the lowest computed polymorph   780 meV per atom

> Which of these has the lowest DOS at the Fermi energy?

BaThHgBr6

> DFT total energy of number 4 (BaGd2O)?

-9.899 eV per atom